## RbCdOs (GGA-PBE)

Data for a relaxed RbCdOs crystal.

Cell and atoms, written as POSCAR:
```
RbCdOs
1.0
0.000 3.869 3.869
3.869 0.000 3.869
3.869 3.869 0.000
Rb Cd Os
1 1 1
Direct
0.000 0.000 0.000 Rb
0.750 0.750 0.750 Cd
0.250 0.250 0.250 Os
```

Summary:
**E_tot**: -6.50 eV/cell
**Total moment**: 3.0 μB per cell
**Energy relative to the lowest polymorph listed for this composition**: 0.5098 eV per atom

---

## CdReOs (GGA-PBE)

Data for a relaxed CdReOs crystal.

Cell and atoms, written as POSCAR:
```
CdReOs
1.0
0.000 3.039 3.039
3.039 0.000 3.039
3.039 3.039 0.000
Cd Re Os
1 1 1
Direct
0.000 0.000 0.000 Cd
0.500 0.500 0.500 Re
0.250 0.250 0.250 Os
```

Summary:
**E_tot**: -21.99 eV/cell
**Total moment**: 0.0 μB per cell
**Energy relative to the lowest polymorph listed for this composition**: 0.0000 eV per atom
**Formation enthalpy at 0 K**: 246 kJ/mol of formula units

---

## CdReOs2 (GGA-PBE)

Data for a relaxed CdReOs2 crystal.

Cell and atoms, written as POSCAR:
```
CdReOs2
1.0
0.000 3.151 3.151
3.151 0.000 3.151
3.151 3.151 0.000
Cd Re Os
1 1 2
Direct
0.000 0.000 0.000 Cd
0.750 0.750 0.750 Re
0.250 0.250 0.250 Os
0.500 0.500 0.500 Os
```

Summary:
**E_tot**: -32.27 eV/cell
**Total moment**: 0.0 μB per cell
**Formation enthalpy at 0 K**: 338 kJ/mol of formula units

---

Please write out number 2 again, unchanged.
## CdReOs (GGA-PBE)

Data for a relaxed CdReOs crystal.

Cell and atoms, written as POSCAR:
```
CdReOs
1.0
0.000 3.039 3.039
3.039 0.000 3.039
3.039 3.039 0.000
Cd Re Os
1 1 1
Direct
0.000 0.000 0.000 Cd
0.500 0.500 0.500 Re
0.250 0.250 0.250 Os
```

Summary:
**E_tot**: -21.99 eV/cell
**Total moment**: 0.0 μB per cell
**Energy relative to the lowest polymorph listed for this composition**: 0.0000 eV per atom
**Formation enthalpy at 0 K**: 246 kJ/mol of formula units